No. 1
Ba2CaCuBi2F14 GGA-PBE optimized geometry; space-group type = C2/c (15)
1.0
7.154 -2.766 0.000
7.154 2.766 0.000
-0.269 0.000 16.691
Ba Ca Cu Bi F
4 2 2 4 28
Direct
0.092 0.280 0.380 Ba
0.280 0.092 0.880 Ba
0.720 0.908 0.120 Ba
0.908 0.720 0.620 Ba
0.445 0.555 0.250 Ca
0.555 0.445 0.750 Ca
0.500 0.500 0.000 Cu
0.500 0.500 0.500 Cu
0.062 0.145 0.122 Bi
0.145 0.062 0.622 Bi
0.855 0.938 0.378 Bi
0.938 0.855 0.878 Bi
0.098 0.838 0.168 F
0.105 0.586 0.300 F
0.109 0.596 0.468 F
0.125 0.386 0.115 F
0.143 0.701 0.011 F
0.146 0.626 0.761 F
0.162 0.902 0.332 F
0.299 0.857 0.489 F
0.365 0.594 0.611 F
0.374 0.854 0.739 F
0.386 0.125 0.615 F
0.404 0.891 0.032 F
0.406 0.635 0.889 F
0.414 0.895 0.200 F
0.586 0.105 0.800 F
0.594 0.365 0.111 F
0.596 0.109 0.968 F
0.614 0.875 0.385 F
0.626 0.146 0.261 F
0.635 0.406 0.389 F
0.701 0.143 0.511 F
0.838 0.098 0.668 F
0.854 0.374 0.239 F
0.857 0.299 0.989 F
0.875 0.614 0.885 F
0.891 0.404 0.532 F
0.895 0.414 0.700 F
0.902 0.162 0.832 F


No. 2
Ba6PtS5 GGA-PBE optimized geometry; space-group type = C2/m (12)
1.0
3.956 -6.854 0.000
3.956 6.854 0.000
-2.637 0.000 7.461
Ba Pt S
6 1 5
Direct
0.082 0.417 0.750 Ba
0.249 0.249 0.251 Ba
0.417 0.082 0.750 Ba
0.583 0.918 0.250 Ba
0.751 0.751 0.749 Ba
0.918 0.583 0.250 Ba
0.500 0.500 0.000 Pt
0.000 0.000 0.500 S
0.166 0.834 0.000 S
0.333 0.667 0.500 S
0.667 0.333 0.500 S
0.834 0.166 0.000 S


no.,ΔE_f (raw) (eV/atom),total energy (eV/cell),magnetization (μB per atom)
1,-2.960,-206.20,0.0515
2,-1.831,-60.19,0.0000